The following is a GGA-PBE calculation of a relaxed structure of TeRhW2, from the Alexandria database.

The calculation puts the density at 14.68 g/cm³. The energy is -34.61 eV for the cell shown. As for the space-group type: Cm, No. 8.

Geometry as CIF:
```
data_TeRhW2
_cell_length_a 4.987
_cell_length_b 4.987
_cell_length_c 4.863
_cell_angle_alpha 107.04
_cell_angle_beta 107.04
_cell_angle_gamma 36.03
_symmetry_space_group_name_H-M 'P 1'
_symmetry_Int_Tables_number 1
loop_
_symmetry_equiv_pos_as_xyz
'x,y,z'
loop_
_atom_site_label
_atom_site_fract_x
_atom_site_fract_y
_atom_site_fract_z
Te1 0.000 0.000 0.000
Rh1 0.745 0.745 0.331
W1 0.244 0.244 0.797
W2 0.484 0.484 0.472
```